# SrTiFeTc2, relaxed, DFT GGA-PBE
data_SrTiFeTc2
_chemical_formula_sum 'Sr1 Ti1 Fe1 Tc2'
_space_group_name_H-M_alt 'P 4/m m m'
_space_group_IT_number 123
_space_group_name_Hall '-P 4 2'
_cell_length_a 4.6400
_cell_length_b 4.6400
_cell_length_c 4.5195
_cell_angle_alpha 90.00
_cell_angle_beta 90.00
_cell_angle_gamma 90.00
loop_
_atom_site_label
_atom_site_fract_x
_atom_site_fract_y
_atom_site_fract_z
Sr1 0.0000 0.0000 0.0000
Ti1 0.5000 0.5000 0.0000
Fe1 0.5000 0.5000 0.5000
Tc1 0.0000 0.5000 0.5000
# formation energy from the elements: 0.7096 eV/atom
# total magnetization: 0.00 μB/f.u.
# density: 6610 kg/m³
# crystal system: tetragonal


# MoRuN2, relaxed, DFT GGA-PBE
data_MoRuN2
_chemical_formula_sum 'Mo4 Ru4 N8'
_space_group_name_H-M_alt 'I -4 2 d'
_space_group_IT_number 122
_space_group_name_Hall 'I -4 2bw'
_cell_length_a 4.2019
_cell_length_b 4.2019
_cell_length_c 10.7134
_cell_angle_alpha 90.00
_cell_angle_beta 90.00
_cell_angle_gamma 90.00
loop_
_atom_site_label
_atom_site_fract_x
_atom_site_fract_y
_atom_site_fract_z
Mo1 0.0000 0.0000 0.0000
Ru1 0.0000 0.0000 0.5000
N1 0.2421 0.2500 0.1250
# E above lowest polymorph: 0 meV per atom
# total magnetization: 0.00 μB/f.u.
# density: 7902 kg/m³
# formation energy (no corrections): 5.3 kJ/mol of atoms
# crystal system: tetragonal


# CaPmCdRh, relaxed, DFT GGA-PBE
data_CaPmCdRh
_chemical_formula_sum 'Ca1 Pm1 Cd1 Rh1'
_space_group_name_H-M_alt 'P 4 m m'
_space_group_IT_number 99
_cell_length_a 3.6396
_cell_length_b 3.6396
_cell_length_c 7.4669
_cell_angle_alpha 90.00
_cell_angle_beta 90.00
_cell_angle_gamma 90.00
loop_
_space_group_symop_operation_xyz
'x,y,z'
'-y,x,z'
'-x,-y,z'
'y,-x,z'
'-x,y,z'
'y,x,z'
'x,-y,z'
'-y,-x,z'
loop_
_atom_site_label
_atom_site_fract_x
_atom_site_fract_y
_atom_site_fract_z
Ca1 0.0000 0.0000 0.0000
Pm1 0.0000 0.0000 0.5585
Cd1 0.5000 0.5000 0.2757
Rh1 0.5000 0.5000 0.7495
# E above lowest polymorph: 0 meV per atom
# formation energy from the elements: -0.4598 eV/atom
# total magnetization: 0.00 μB/f.u.
# density: 6722 kg/m³
# crystal system: tetragonal


# CaPr6DyY2, relaxed, DFT GGA-PBE
data_CaPr6DyY2
_chemical_formula_sum 'Ca4 Pr24 Dy4 Y8'
_space_group_name_H-M_alt 'C 1 2/c 1'
_space_group_IT_number 15
_cell_length_a 9.3470
_cell_length_b 15.6255
_cell_length_c 9.8882
_cell_angle_alpha 90.00
_cell_angle_beta 97.83
_cell_angle_gamma 90.00
loop_
_space_group_symop_operation_xyz
'x,y,z'
'-x,-y,-z'
'-x,y,-z+1/2'
'x,-y,z+1/2'
'x+1/2,y+1/2,z'
'-x+1/2,-y+1/2,-z'
'-x+1/2,y+1/2,-z+1/2'
'x+1/2,-y+1/2,z+1/2'
loop_
_atom_site_label
_atom_site_fract_x
_atom_site_fract_y
_atom_site_fract_z
Ca1 0.0000 0.0968 0.2500
Pr1 0.0605 0.3273 0.4453
Pr2 0.1013 0.1092 0.6211
Pr3 0.2040 0.2715 0.8216
Dy1 0.0000 0.4695 0.7500
Y1 0.2470 0.4528 0.0451
# formation energy from the elements: 0.1314 eV/atom
# total magnetization: 0.00 μB/f.u.
# density: 5691 kg/m³
# crystal system: monoclinic


# Zn2TePt, relaxed, DFT GGA-PBE
data_Zn2TePt
_chemical_formula_sum 'Zn2 Te1 Pt1'
_space_group_name_H-M_alt 'P 1 m 1'
_space_group_IT_number 6
_cell_length_a 4.4088
_cell_length_b 4.5919
_cell_length_c 4.4252
_cell_angle_alpha 90.00
_cell_angle_beta 107.96
_cell_angle_gamma 90.00
loop_
_space_group_symop_operation_xyz
'x,y,z'
'x,-y,z'
loop_
_atom_site_label
_atom_site_fract_x
_atom_site_fract_y
_atom_site_fract_z
Zn1 0.0000 0.0000 0.0000
Zn2 0.1688 0.5000 0.3424
Te1 0.5560 0.5000 0.9548
Pt1 0.3482 0.0000 0.6112
# total magnetization: 0.00 μB/f.u.
# density: 8836 kg/m³
# formation energy (no corrections): -16.7 kJ/mol of atoms
# crystal system: monoclinic


# HoTa2Al6, relaxed, DFT GGA-PBE
data_HoTa2Al6
_chemical_formula_sum 'Ho2 Ta4 Al12'
_space_group_name_H-M_alt 'I m m m'
_space_group_IT_number 71
_space_group_name_Hall '-I 2 2'
_cell_length_a 3.9850
_cell_length_b 6.7819
_cell_length_c 12.7626
_cell_angle_alpha 90.00
_cell_angle_beta 90.00
_cell_angle_gamma 90.00
loop_
_atom_site_label
_atom_site_fract_x
_atom_site_fract_y
_atom_site_fract_z
Ho1 0.0000 0.0000 0.0000
Ta1 0.0000 0.5000 0.1153
Al1 0.0000 0.1846 0.5000
Al2 0.0000 0.2976 0.3119
# formation energy from the elements: -0.1389 eV/atom
# total magnetization: 0.00 μB/f.u.
# density: 6631 kg/m³
# crystal system: orthorhombic